LuCo4Pd | PBE | optimized geometry

The uncorrected energy comes out at -157.56 eV/cell. Its formation energy from the elements is -0.209 eV/atom. The calculation puts the mass density at 10.4 Mg/m³. Its volume is 13.7 Å³ per atom.

It has space group F-43m (No. 216), with a = 6.909 Å, b = 6.909 Å, c = 6.909 Å, α = 90.00°, β = 90.00° and γ = 90.00°. The asymmetric unit holds Lu at (0.000, 0.000, 0.000), Co at (0.124, 0.124, 0.376) and Pd at (0.250, 0.250, 0.750).